A relaxed GeOsN2F crystal, computed with GGA-PBE.

Output
**Calculated volume**: 12.8 Å³ per atom
**Energy relative to the lowest polymorph listed for this composition**: 0.000 eV per formula unit
**Density of states at the Fermi level**: 0.503 states/eV/atom
**M_tot**: 0.000 μB per cell
**Raw formation energy**: 0.368 eV per atom

abc: 3.8671 3.8671 4.2947
angles: 90.00 90.00 90.00
Atoms (fractional coordinates):
Ge (0.5000, 0.5000, 0.5000)
N (0.5000, 0.0000, 0.0000)
N (0.0000, 0.5000, 0.0000)
Os (0.0000, 0.0000, 0.0000)
F (0.0000, 0.0000, 0.5000)

A relaxed GdCdTe2 crystal, computed with GGA-PBE.

Output
**Calculated volume**: 37.4 Å³ per atom
**Density of states at the Fermi level**: 0.961 states/eV/atom
**M_tot**: 7.618 μB per cell
**Raw formation energy**: -0.213 eV per atom

abc: 4.3266 4.3266 9.5523
angles: 76.91 76.91 60.00
Site moments in Bohr magnetons follow the coordinates.
Atoms (fractional coordinates):
Te (0.8941, 0.8941, 0.3176)  -0.01
Te (0.1059, 0.1059, 0.6824)  -0.01
Cd (0.5000, 0.5000, 0.5000)  0.00
Gd (0.0000, 0.0000, 0.0000)  7.14

A relaxed KLa3Pu2Te6 crystal, computed with GGA-PBE.

Output
**Calculated volume**: 34.1 Å³ per atom
**Density of states at the Fermi level**: 2.393 states/eV/atom
**M_tot**: 12.205 μB per cell
**Raw formation energy**: -1.356 eV per atom

abc: 4.5581 9.2206 10.2467
angles: 102.70 102.85 90.00
Site moments in Bohr magnetons follow the coordinates.
Atoms (fractional coordinates):
Te (0.0039, 0.2609, 0.0078)  0.02
Te (0.3292, 0.9079, 0.6584)  0.03
Te (0.6708, 0.0921, 0.3416)  0.03
Te (0.6681, 0.5784, 0.3361)  0.05
Te (0.3319, 0.4216, 0.6639)  0.05
Te (0.9961, 0.7391, 0.9922)  0.02
Pu (0.8311, 0.6628, 0.6623)  -5.58
Pu (0.1689, 0.3372, 0.3377)  -5.58
K (0.5000, 0.0000, 0.0000)  0.00
La (0.8360, 0.1686, 0.6721)  -0.08
La (0.5000, 0.5000, 0.0000)  -0.07
La (0.1640, 0.8314, 0.3279)  -0.08

A relaxed Ce2UAu crystal, computed with GGA-PBE.

Output
**Calculated formation energy**: -0.176 eV/atom
**Calculated volume**: 22.8 Å³ per atom
**Energy relative to the lowest polymorph listed for this composition**: 0.000 eV per formula unit
**Density of states at the Fermi level**: 2.352 states/eV/atom
**M_tot**: 0.630 μB per cell

abc: 3.1381 5.3905 5.3905
angles: 90.00 90.00 90.00
Site moments in Bohr magnetons follow the coordinates.
Atoms (fractional coordinates):
Ce (0.0000, 0.5000, 0.0000)  0.03
Ce (0.0000, 0.0000, 0.5000)  0.03
U (0.5000, 0.0000, 0.0000)  0.53
Au (0.5000, 0.5000, 0.5000)  0.00

A relaxed Pu2ScW2C4 crystal, computed with GGA-PBE.

Output
**Calculated formation energy**: 0.030 eV/atom
**Calculated volume**: 14.2 Å³ per atom
**Density of states at the Fermi level**: 1.570 states/eV/atom
**M_tot**: 9.711 μB per cell

abc: 3.2968 7.1332 5.7889
angles: 105.22 90.00 103.36
Site moments in Bohr magnetons follow the coordinates.
Atoms (fractional coordinates):
W (0.6742, 0.3484, 0.0140)  -0.06
W (0.3258, 0.6516, 0.9860)  -0.06
Pu (0.8753, 0.7505, 0.4776)  4.88
Pu (0.1247, 0.2495, 0.5224)  4.88
C (0.4600, 0.9200, 0.2429)  -0.08
C (0.5400, 0.0800, 0.7571)  -0.08
C (0.2333, 0.4665, 0.2354)  -0.06
C (0.7667, 0.5335, 0.7646)  -0.06
Sc (0.0000, 0.0000, 0.0000)  0.04

A relaxed SmMg6Pb6 crystal, computed with GGA-PBE.

Output
**Calculated formation energy**: -0.092 eV/atom
**Calculated volume**: 26.6 Å³ per atom
**Energy relative to the lowest polymorph listed for this composition**: 0.044 eV per formula unit
**Density of states at the Fermi level**: 0.711 states/eV/atom
**M_tot**: 0.000 μB per cell

abc: 6.3354 6.3354 9.9384
angles: 90.00 90.00 120.01
Atoms (fractional coordinates):
Mg (0.5000, 0.0000, 0.7565)
Mg (0.5000, 0.5000, 0.7564)
Mg (0.0000, 0.5000, 0.2435)
Mg (0.5000, 0.0000, 0.2435)
Mg (0.5000, 0.5000, 0.2436)
Mg (0.0000, 0.5000, 0.7565)
Pb (0.3334, 0.6666, 0.0000)
Pb (0.6667, 0.3333, 0.5000)
Pb (0.0000, 0.0000, 0.3348)
Pb (0.0000, 0.0000, 0.6652)
Pb (0.3333, 0.6667, 0.5000)
Pb (0.6666, 0.3334, 0.0000)
Sm (0.0000, 0.0000, 0.0000)

A relaxed CrTeBr crystal, computed with GGA-PBE.

Output
**Calculated volume**: 30.0 Å³ per atom
**M_tot**: 3.000 μB per cell
**Raw formation energy**: -0.473 eV per atom

abc: 3.7930 3.7930 7.2845
angles: 84.06 84.06 60.01
Site moments in Bohr magnetons follow the coordinates.
Atoms (fractional coordinates):
Cr (0.3581, 0.3581, 0.0746)  3.12
Te (0.6630, 0.6630, 0.2887)  -0.24
Br (0.0526, 0.0526, 0.8639)  -0.02

A relaxed ZnAgO3 crystal, computed with GGA-PBE.

Output
**Calculated volume**: 12.3 Å³ per atom
**Density of states at the Fermi level**: 0.876 states/eV/atom
**M_tot**: 0.000 μB per cell
**Raw formation energy**: 0.376 eV per atom

abc: 3.9493 3.9493 3.9493
angles: 90.00 90.00 90.00
Atoms (fractional coordinates):
Zn (0.5000, 0.5000, 0.5000)
Ag (0.0000, 0.0000, 0.0000)
O (0.0000, 0.5000, 0.0000)
O (0.0000, 0.0000, 0.5000)
O (0.5000, 0.0000, 0.0000)

A relaxed Pm12PrTm6 crystal, computed with GGA-PBE.

Output
**Calculated formation energy**: 0.135 eV/atom
**Calculated volume**: 33.8 Å³ per atom
**Energy relative to the lowest polymorph listed for this composition**: 0.000 eV per formula unit
**Density of states at the Fermi level**: 1.684 states/eV/atom
**M_tot**: 0.000 μB per cell

abc: 8.6281 8.6281 8.6281
angles: 88.79 88.79 88.79
Atoms (fractional coordinates):
Pm (0.5670, 0.2195, 0.4629)
Pm (0.4330, 0.7805, 0.5371)
Pm (0.2195, 0.4629, 0.5670)
Pm (0.9839, 0.8020, 0.6372)
Pm (0.6372, 0.9839, 0.8020)
Pm (0.7805, 0.5371, 0.4330)
Pm (0.4629, 0.5670, 0.2195)
Pm (0.8020, 0.6372, 0.9839)
Pm (0.5371, 0.4330, 0.7805)
Pm (0.3628, 0.0161, 0.1980)
Pm (0.1980, 0.3628, 0.0161)
Pm (0.0161, 0.1980, 0.3628)
Tm (0.2581, 0.0997, 0.6990)
Tm (0.9003, 0.3010, 0.7419)
Tm (0.6990, 0.2581, 0.0997)
Tm (0.0997, 0.6990, 0.2581)
Tm (0.3010, 0.7419, 0.9003)
Tm (0.7419, 0.9003, 0.3010)
Pr (0.0000, 0.0000, 0.0000)

A relaxed NaCa4Hg crystal, computed with GGA-PBE.

Output
**Calculated formation energy**: -0.169 eV/atom
**Calculated volume**: 35.8 Å³ per atom
**Energy relative to the lowest polymorph listed for this composition**: 0.000 eV per formula unit
**Density of states at the Fermi level**: 0.766 states/eV/atom
**M_tot**: 0.000 μB per cell

abc: 3.8760 3.8760 14.2992
angles: 90.00 90.00 90.00
Atoms (fractional coordinates):
Ca (0.0000, 0.0000, 0.3190)
Ca (0.5000, 0.5000, 0.8754)
Ca (0.0000, 0.0000, 0.6810)
Ca (0.5000, 0.5000, 0.1246)
Na (0.5000, 0.5000, 0.5000)
Hg (0.0000, 0.0000, 0.0000)

A relaxed Pm3PtC crystal, computed with GGA-PBE.

Output
**Calculated formation energy**: -0.462 eV/atom
**Calculated volume**: 23.9 Å³ per atom
**Energy relative to the lowest polymorph listed for this composition**: 0.299 eV per formula unit
**Density of states at the Fermi level**: 0.602 states/eV/atom
**M_tot**: 0.000 μB per cell

abc: 6.5416 7.8248 9.4199
angles: 97.38 90.00 90.00
Atoms (fractional coordinates):
Pt (0.2140, 0.4001, 0.8345)
Pt (0.7140, 0.5999, 0.6655)
Pt (0.2860, 0.4001, 0.3345)
Pt (0.7860, 0.5999, 0.1655)
Pm (0.6655, 0.3722, 0.8936)
Pm (0.0541, 0.9150, 0.3224)
Pm (0.8345, 0.3722, 0.3936)
Pm (0.1655, 0.6278, 0.6064)
Pm (0.4222, 0.2138, 0.5559)
Pm (0.4459, 0.9150, 0.8224)
Pm (0.5541, 0.0850, 0.1776)
Pm (0.3345, 0.6278, 0.1064)
Pm (0.0778, 0.2138, 0.0559)
Pm (0.5778, 0.7862, 0.4441)
Pm (0.9459, 0.0850, 0.6776)
Pm (0.9222, 0.7862, 0.9441)
C (0.7481, 0.0753, 0.9350)
C (0.2481, 0.9247, 0.5650)
C (0.2519, 0.9247, 0.0650)
C (0.7519, 0.0753, 0.4350)

A relaxed Sr3LaTe crystal, computed with GGA-PBE.

Output
**Calculated volume**: 48.5 Å³ per atom
**Energy relative to the lowest polymorph listed for this composition**: 0.000 eV per formula unit
**Density of states at the Fermi level**: 2.741 states/eV/atom
**M_tot**: 2.928 μB per cell
**Raw formation energy**: -0.242 eV per atom

abc: 6.2348 6.2348 6.2348
angles: 90.00 90.00 90.00
Site moments in Bohr magnetons follow the coordinates.
Atoms (fractional coordinates):
Sr (0.0000, 0.0000, 0.5000)  0.09
Sr (0.5000, 0.0000, 0.0000)  0.09
Sr (0.0000, 0.5000, 0.0000)  0.07
Te (0.0000, 0.0000, 0.0000)  0.03
La (0.5000, 0.5000, 0.5000)  0.54